Here is crystalline La2FeGeO6 at its relaxed geometry from Alexandria via LeMat-Bulk. Energies are from GGA+U.

Calculated values
E_tot = -7.450 eV/atom
space-group type = P4/mmm (123)
crystal system = tetragonal

Geometry as POSCAR:
```
La2FeGeO6
1.0
5.596 0.000 0.000
0.000 5.596 0.000
0.000 0.000 3.919
La Fe Ge O
2 1 1 6
Cartesian
0.000 2.798 0.000
2.798 0.000 0.000
0.000 0.000 1.960
2.798 2.798 1.960
0.000 0.000 0.000
1.485 1.485 1.960
1.485 4.111 1.960
2.798 2.798 0.000
4.111 1.485 1.960
4.111 4.111 1.960
```